1.
A plane-wave DFT calculation with PBEsol was carried out for a geometry-optimized RbTc3Pb structure.

Computed properties:
E, eV per cell: -23.22
D(E_F), states/eV per atom: 1.424
SG: Pm-3m
Total magnetization, μB/atom: 0.8065
Energy relative to the elements, kJ per mole of atoms: 301
Crystal system: cubic

```
5
Lattice="4.7088 0.0000 0.0000 0.0000 4.7088 0.0000 0.0000 0.0000 4.7088" Properties=species:S:1:pos:R:3 pbc="T T T"
Pb 2.3544 2.3544 2.3544
Tc 2.3544 0.0000 0.0000
Tc 0.0000 0.0000 2.3544
Tc 0.0000 2.3544 0.0000
Rb 0.0000 0.0000 0.0000
```



2.
A plane-wave DFT calculation with PBEsol was carried out for a geometry-optimized Rb3TePb structure.

Computed properties:
Energy relative to the elements, uncorrected, eV per atom: 0.08
E, eV per cell: -10.19
D(E_F), states/eV per atom: 0.870
SG: Pm-3m
Total magnetization, μB/atom: 0.5586
Crystal system: cubic

```
5
Lattice="-2.7594 2.8108 -5.4781 -5.9312 -2.8248 1.5382 -1.6527 5.4447 3.6261" Properties=species:S:1:pos:R:3 pbc="T T T"
Rb -0.8263 2.7224 1.8131
Rb -1.3797 1.4054 -2.7391
Rb -2.9656 -1.4124 0.7691
Pb 0.0000 0.0000 0.0000
Te -5.1716 2.7154 -0.1569
```



3.
A plane-wave DFT calculation with PBEsol was carried out for a geometry-optimized Rb2TePb structure.

Computed properties:
Energy relative to the elements, uncorrected, eV per atom: -0.21
E, eV per cell: -10.40
D(E_F), states/eV per atom: 0.888
SG: Fm-3m
Total magnetization, μB/atom: 0.2979
Crystal system: cubic

```
4
Lattice="6.0387 0.0000 0.0000 3.0194 5.2297 0.0000 3.0194 1.7432 4.9306" Properties=species:S:1:pos:R:3 pbc="T T T"
Te 6.0387 3.4865 2.4653
Rb 9.0581 5.2297 3.6980
Rb 3.0194 1.7432 1.2327
Pb 0.0000 0.0000 0.0000
```